## 1
Here is a relaxed AgH3Pt2 crystal from Alexandria. Energies are from PBE.

Cell lengths 2.919, 6.209, 7.728 Å; angles 68.82, 79.25, 76.50 degrees
Space group P-1 (No. 2)
One atom of each set of equivalent atoms:
Ag  0.128  0.276  0.473 x2
H  0.132  0.663  0.071 x2
H  0.294  0.605  0.812 x2
H  0.321  0.043  0.305 x2
Pt  0.144  0.893  0.831 x2
Pt  0.438  0.326  0.796 x2

***

## 2
Here is a relaxed AgH3Pt2 crystal from Alexandria. Energies are from PBE.

Cell lengths 14.731, 2.848, 6.324 Å; angles 90.00, 93.82, 90.00 degrees
Space group C2/m (No. 12)
One atom of each set of equivalent atoms:
Ag  0.133  0.000  0.196 x4
H  0.051  0.500  0.299 x4
H  0.075  0.000  0.651 x4
H  0.188  0.500  0.820 x4
Pt  0.053  0.500  0.819 x4
Pt  0.203  0.000  0.644 x4

***

So which one wins? Going from most stable to least: 1, 2.

***

## 1
Here is a relaxed AgHPtRhS crystal from Alexandria. Energies are from PBE.

Cell lengths 5.510, 3.212, 8.489 Å; angles 90.00, 102.37, 90.00 degrees
Space group Cm (No. 8)
One atom of each set of equivalent atoms:
Ag  0.000  0.000  0.000 x2
H  0.402  0.500  0.703 x2
Pt  0.074  0.500  0.729 x2
Rh  0.321  0.500  0.460 x2
S  0.105  0.000  0.306 x2

***

## 2
Here is a relaxed AgHPtRhS crystal from Alexandria. Energies are from PBE.

Cell lengths 10.587, 2.982, 5.227 Å; angles 90.00, 117.33, 90.00 degrees
Space group Cm (No. 8)
One atom of each set of equivalent atoms:
Ag  0.000  0.000  0.000 x2
H  0.360  0.500  0.283 x2
Pt  0.246  0.500  0.444 x2
Rh  0.488  0.000  0.492 x2
S  0.170  0.000  0.703 x2

***

## 3
Here is a relaxed AgHPtRhS crystal from Alexandria. Energies are from PBE.

Cell lengths 3.041, 3.041, 15.135 Å; angles 90.00, 90.00, 90.00 degrees
Space group I4mm (No. 107)
One atom of each set of equivalent atoms:
Ag  0.000  0.000  0.000 x2
H  0.000  0.000  0.522 x2
Pt  0.000  0.000  0.631 x2
Rh  0.000  0.000  0.260 x2
S  0.000  0.000  0.828 x2

***

## 4
Here is a relaxed AgHPtRhS crystal from Alexandria. Energies are from PBE.

Cell lengths 5.492, 3.192, 8.509 Å; angles 90.00, 102.28, 90.00 degrees
Space group Cm (No. 8)
One atom of each set of equivalent atoms:
Ag  0.000  0.000  0.000 x2
H  0.423  0.000  0.281 x2
Pt  0.254  0.500  0.268 x2
Rh  0.182  0.000  0.539 x2
S  0.398  0.500  0.694 x2

***

So which one wins? Going from most stable to least: 1, 4, 2, 3.

***

## 1
Here is a relaxed Ta2AgHPt crystal from Alexandria. Energies are from PBE.

Cell lengths 4.133, 4.133, 4.128 Å; angles 90.00, 90.00, 90.00 degrees
Space group P4/mmm (No. 123)
One atom of each set of equivalent atoms:
Ta  0.000  0.500  0.000 x2
Ag  0.000  0.000  0.500 x1
H  0.500  0.500  0.000 x1
Pt  0.500  0.500  0.500 x1

***

## 2
Here is a relaxed Ta2AgHPt crystal from Alexandria. Energies are from PBE.

Cell lengths 4.091, 4.091, 4.211 Å; angles 90.00, 90.00, 90.00 degrees
Space group P4/mmm (No. 123)
One atom of each set of equivalent atoms:
Ta  0.000  0.500  0.000 x2
Ag  0.000  0.000  0.500 x1
H  0.000  0.000  0.000 x1
Pt  0.500  0.500  0.500 x1

***

So which one wins? Going from most stable to least: 2, 1.

***

## 1
Here is a relaxed ZnAgHPt2 crystal from Alexandria. Energies are from PBE.

Cell lengths 4.006, 4.006, 4.110 Å; angles 90.00, 90.00, 90.00 degrees
Space group P4/mmm (No. 123)
One atom of each set of equivalent atoms:
Zn  0.000  0.000  0.000 x1
Ag  0.500  0.500  0.000 x1
H  0.500  0.500  0.500 x1
Pt  0.000  0.500  0.500 x2

***

## 2
Here is a relaxed ZnAgHPt2 crystal from Alexandria. Energies are from PBE.

Cell lengths 3.991, 3.991, 4.121 Å; angles 90.00, 90.00, 90.00 degrees
Space group P4/mmm (No. 123)
One atom of each set of equivalent atoms:
Zn  0.000  0.000  0.000 x1
Ag  0.500  0.500  0.000 x1
H  0.000  0.000  0.500 x1
Pt  0.000  0.500  0.500 x2

***

So which one wins? Going from most stable to least: 1, 2.

***

## 1
Here is a relaxed PuAgH crystal from Alexandria. Energies are from PBE.

Cell lengths 2.915, 3.758, 7.470 Å; angles 90.00, 94.70, 90.00 degrees
Space group P2_1/m (No. 11)
One atom of each set of equivalent atoms:
Pu  0.142  0.250  0.079 x2
Ag  0.287  0.250  0.620 x2
H  0.335  0.750  0.678 x2

***

## 2
Here is a relaxed PuAgH crystal from Alexandria. Energies are from PBE.

Cell lengths 3.4237, 3.4237, 5.1691 Å; angles 90.00, 90.00, 120.00 degrees
Space group P3m1 (No. 156)
One atom of each set of equivalent atoms:
Pu  0.0000  0.0000  0.0000 x1
Ag  0.3333  0.6667  0.5129 x1
H  0.6667  0.3333  0.1749 x1

***

So which one wins? Going from most stable to least: 2, 1.